Entry 1:
# SmIn3Pd3

A relaxed structure of SmIn3Pd3 (GGA-PBE, Alexandria via LeMat-Bulk).

Excess energy over the best structure of this formula in the dataset in meV/atom: 464
SG: Pm-3n

a = 7.256 Å, b = 7.256 Å, c = 7.256 Å
α = 90.00°, β = 90.00°, γ = 90.00°
Sites, in units of the cell vectors:
Sm (0.000, 0.000, 0.000)
Sm (0.500, 0.500, 0.500)
In (0.000, 0.250, 0.500)
In (0.000, 0.750, 0.500)
In (0.250, 0.500, 0.000)
In (0.500, 0.000, 0.250)
In (0.500, 0.000, 0.750)
In (0.750, 0.500, 0.000)
Pd (0.000, 0.500, 0.250)
Pd (0.000, 0.500, 0.750)
Pd (0.250, 0.000, 0.500)
Pd (0.500, 0.250, 0.000)
Pd (0.500, 0.750, 0.000)
Pd (0.750, 0.000, 0.500)

***

Entry 2:
# ScZn11Ga

A relaxed structure of ScZn11Ga (GGA-PBE, Alexandria via LeMat-Bulk).

Calculated total energy in eV/atom: -1.90
SG: C2/m

a = 6.754 Å, b = 6.754 Å, c = 6.738 Å
α = 98.50°, β = 98.50°, γ = 134.52°
Sites, in units of the cell vectors:
Sc (0.000, 0.000, 0.000)
Zn (0.000, 0.000, 0.500)
Zn (0.000, 0.500, 0.000)
Zn (0.009, 0.653, 0.649)
Zn (0.281, 0.495, 0.789)
Zn (0.347, 0.991, 0.351)
Zn (0.495, 0.281, 0.789)
Zn (0.500, 0.000, 0.000)
Zn (0.505, 0.719, 0.211)
Zn (0.653, 0.009, 0.649)
Zn (0.719, 0.505, 0.211)
Zn (0.991, 0.347, 0.351)
Ga (0.500, 0.500, 0.500)